(1)
# La8TmIn2 (PBE-GGA, relaxed)
# Energy relative to the elements in eV per atom: -0.139
data_La8TmIn2
_chemical_formula_sum 'La8 Tm1 In2'
_space_group_name_H-M_alt 'P 1'
_space_group_IT_number 1
_space_group_name_Hall 'P 1'
_cell_length_a 5.301
_cell_length_b 9.128
_cell_length_c 9.460
_cell_angle_alpha 118.85
_cell_angle_beta 106.27
_cell_angle_gamma 90.00
loop_
_atom_site_label
_atom_site_type_symbol
_atom_site_fract_x
_atom_site_fract_y
_atom_site_fract_z
_atom_site_occupancy
La1 La 0.659 0.876 0.317 1
La2 La 0.341 0.558 0.683 1
La3 La 0.149 0.149 0.297 1
La4 La 0.000 0.329 0.000 1
La5 La 0.851 0.851 0.703 1
La6 La 0.659 0.442 0.317 1
La7 La 0.341 0.124 0.683 1
La8 La 0.000 0.671 0.000 1
Tm1 Tm 0.500 0.000 0.000 1
In1 In 0.197 0.697 0.395 1
In2 In 0.803 0.303 0.605 1

(2)
# La4Tm5In (PBE-GGA, relaxed)
# Energy relative to the elements in eV per atom: 0.052
data_La4Tm5In
_chemical_formula_sum 'La4 Tm5 In1'
_space_group_name_H-M_alt 'P 1'
_space_group_IT_number 1
_space_group_name_Hall 'P 1'
_cell_length_a 5.805
_cell_length_b 8.204
_cell_length_c 8.204
_cell_angle_alpha 82.81
_cell_angle_beta 69.28
_cell_angle_gamma 69.28
loop_
_atom_site_label
_atom_site_type_symbol
_atom_site_fract_x
_atom_site_fract_y
_atom_site_fract_z
_atom_site_occupancy
La1 La 0.456 0.307 0.693 1
La2 La 0.763 0.693 0.693 1
La3 La 0.149 0.307 0.307 1
La4 La 0.456 0.693 0.307 1
Tm1 Tm 0.775 0.365 0.000 1
Tm2 Tm 0.141 0.000 0.635 1
Tm3 Tm 0.775 0.000 0.365 1
Tm4 Tm 0.140 0.635 0.000 1
Tm5 Tm 0.670 0.000 0.000 1
In1 In 0.183 0.000 0.000 1

(3)
# LaTm3In (PBE-GGA, relaxed)
# Energy relative to the elements in eV per atom: -0.153
data_LaTm3In
_chemical_formula_sum 'La2 Tm6 In2'
_space_group_name_H-M_alt 'P 1'
_space_group_IT_number 1
_space_group_name_Hall 'P 1'
_cell_length_a 4.897
_cell_length_b 4.825
_cell_length_c 12.830
_cell_angle_alpha 90.00
_cell_angle_beta 79.00
_cell_angle_gamma 90.00
loop_
_atom_site_label
_atom_site_type_symbol
_atom_site_fract_x
_atom_site_fract_y
_atom_site_fract_z
_atom_site_occupancy
La1 La 0.470 0.750 0.708 1
La2 La 0.178 0.250 0.292 1
Tm1 Tm 0.774 0.250 0.101 1
Tm2 Tm 0.369 0.250 0.910 1
Tm3 Tm 0.575 0.250 0.498 1
Tm4 Tm 0.279 0.750 0.090 1
Tm5 Tm 0.875 0.750 0.899 1
Tm6 Tm 0.073 0.750 0.502 1
In1 In 0.669 0.750 0.309 1
In2 In 0.979 0.250 0.691 1

(4)
# LaTm9In2 (PBE-GGA, relaxed)
# Energy relative to the elements in eV per atom: -0.141
data_LaTm9In2
_chemical_formula_sum 'La1 Tm9 In2'
_space_group_name_H-M_alt 'P 1'
_space_group_IT_number 1
_space_group_name_Hall 'P 1'
_cell_length_a 4.820
_cell_length_b 4.820
_cell_length_c 14.907
_cell_angle_alpha 90.00
_cell_angle_beta 90.00
_cell_angle_gamma 90.00
loop_
_atom_site_label
_atom_site_type_symbol
_atom_site_fract_x
_atom_site_fract_y
_atom_site_fract_z
_atom_site_occupancy
La1 La 0.000 0.000 0.000 1
Tm1 Tm 0.500 0.500 0.000 1
Tm2 Tm 0.500 0.500 0.341 1
Tm3 Tm 0.500 0.500 0.659 1
Tm4 Tm 0.500 0.000 0.177 1
Tm5 Tm 0.500 0.000 0.500 1
Tm6 Tm 0.500 0.000 0.823 1
Tm7 Tm 0.000 0.500 0.177 1
Tm8 Tm 0.000 0.500 0.500 1
Tm9 Tm 0.000 0.500 0.823 1
In1 In 0.000 0.000 0.340 1
In2 In 0.000 0.000 0.660 1

(5)
# La12Tm6In (PBE-GGA, relaxed)
# Energy relative to the elements in eV per atom: -0.014
data_La12Tm6In
_chemical_formula_sum 'La12 Tm6 In1'
_space_group_name_H-M_alt 'P 1'
_space_group_IT_number 1
_space_group_name_Hall 'P 1'
_cell_length_a 9.575
_cell_length_b 9.575
_cell_length_c 9.575
_cell_angle_alpha 110.78
_cell_angle_beta 110.78
_cell_angle_gamma 110.78
loop_
_atom_site_label
_atom_site_type_symbol
_atom_site_fract_x
_atom_site_fract_y
_atom_site_fract_z
_atom_site_occupancy
La1 La 0.377 0.057 0.589 1
La2 La 0.057 0.589 0.377 1
La3 La 0.589 0.377 0.057 1
La4 La 0.623 0.943 0.411 1
La5 La 0.943 0.411 0.623 1
La6 La 0.411 0.623 0.943 1
La7 La 0.262 0.898 0.844 1
La8 La 0.156 0.738 0.102 1
La9 La 0.102 0.156 0.738 1
La10 La 0.738 0.102 0.156 1
La11 La 0.844 0.262 0.898 1
La12 La 0.898 0.844 0.262 1
Tm1 Tm 0.218 0.318 0.471 1
Tm2 Tm 0.682 0.529 0.782 1
Tm3 Tm 0.529 0.782 0.682 1
Tm4 Tm 0.782 0.682 0.529 1
Tm5 Tm 0.318 0.471 0.218 1
Tm6 Tm 0.471 0.218 0.318 1
In1 In 0.000 0.000 0.000 1

(6)
# La2TmIn4 (PBE-GGA, relaxed)
# Energy relative to the elements in eV per atom: -0.338
data_La2TmIn4
_chemical_formula_sum 'La2 Tm1 In4'
_space_group_name_H-M_alt 'P 1'
_space_group_IT_number 1
_space_group_name_Hall 'P 1'
_cell_length_a 5.310
_cell_length_b 5.310
_cell_length_c 8.495
_cell_angle_alpha 108.21
_cell_angle_beta 108.21
_cell_angle_gamma 90.00
loop_
_atom_site_label
_atom_site_type_symbol
_atom_site_fract_x
_atom_site_fract_y
_atom_site_fract_z
_atom_site_occupancy
Tm1 Tm 0.000 0.000 0.000 1
In1 In 0.394 0.894 0.789 1
In2 In 0.894 0.394 0.789 1
In3 In 0.606 0.106 0.211 1
In4 In 0.106 0.606 0.211 1
La1 La 0.749 0.749 0.499 1
La2 La 0.251 0.251 0.501 1

(7)
# La15Tm2In2 (PBE-GGA, relaxed)
# Energy relative to the elements in eV per atom: 0.092
data_La15Tm2In2
_chemical_formula_sum 'La15 Tm2 In2'
_space_group_name_H-M_alt 'P 1'
_space_group_IT_number 1
_space_group_name_Hall 'P 1'
_cell_length_a 8.882
_cell_length_b 8.882
_cell_length_c 8.882
_cell_angle_alpha 76.59
_cell_angle_beta 76.59
_cell_angle_gamma 76.59
loop_
_atom_site_label
_atom_site_type_symbol
_atom_site_fract_x
_atom_site_fract_y
_atom_site_fract_z
_atom_site_occupancy
La1 La 0.000 0.500 0.000 1
La2 La 0.000 0.000 0.500 1
La3 La 0.500 0.000 0.000 1
La4 La 0.292 0.000 0.708 1
La5 La 0.708 0.292 0.000 1
La6 La 0.000 0.708 0.292 1
La7 La 0.292 0.708 0.000 1
La8 La 0.000 0.292 0.708 1
La9 La 0.708 0.000 0.292 1
La10 La 0.398 0.824 0.398 1
La11 La 0.398 0.398 0.824 1
La12 La 0.824 0.398 0.398 1
La13 La 0.602 0.176 0.602 1
La14 La 0.602 0.602 0.176 1
La15 La 0.176 0.602 0.602 1
Tm1 Tm 0.705 0.705 0.705 1
Tm2 Tm 0.295 0.295 0.295 1
In1 In 0.905 0.905 0.905 1
In2 In 0.095 0.095 0.095 1

(8)
# LaTm3In4 (PBE-GGA, relaxed)
# Energy relative to the elements in eV per atom: -0.442
data_LaTm3In4
_chemical_formula_sum 'La2 Tm6 In8'
_space_group_name_H-M_alt 'P 1'
_space_group_IT_number 1
_space_group_name_Hall 'P 1'
_cell_length_a 5.519
_cell_length_b 7.273
_cell_length_c 10.764
_cell_angle_alpha 90.00
_cell_angle_beta 90.00
_cell_angle_gamma 90.00
loop_
_atom_site_label
_atom_site_type_symbol
_atom_site_fract_x
_atom_site_fract_y
_atom_site_fract_z
_atom_site_occupancy
Tm1 Tm 0.000 0.000 0.000 1
Tm2 Tm 0.000 0.000 0.500 1
Tm3 Tm 0.587 0.000 0.750 1
Tm4 Tm 0.413 0.000 0.250 1
Tm5 Tm 0.566 0.500 0.750 1
Tm6 Tm 0.434 0.500 0.250 1
In1 In 0.500 0.765 0.000 1
In2 In 0.500 0.765 0.500 1
In3 In 0.500 0.235 0.000 1
In4 In 0.500 0.235 0.500 1
In5 In 0.088 0.765 0.750 1
In6 In 0.912 0.765 0.250 1
In7 In 0.912 0.235 0.250 1
In8 In 0.088 0.235 0.750 1
La1 La 0.000 0.500 0.000 1
La2 La 0.000 0.500 0.500 1

The highest energy relative to the elements belongs to which entry? La15Tm2In2

energy relative to the elements of number 3 (LaTm3In)? -0.153 eV per atom

Repeat the eighth record exactly.
# LaTm3In4 (PBE-GGA, relaxed)
# Energy relative to the elements in eV per atom: -0.442
data_LaTm3In4
_chemical_formula_sum 'La2 Tm6 In8'
_space_group_name_H-M_alt 'P 1'
_space_group_IT_number 1
_space_group_name_Hall 'P 1'
_cell_length_a 5.519
_cell_length_b 7.273
_cell_length_c 10.764
_cell_angle_alpha 90.00
_cell_angle_beta 90.00
_cell_angle_gamma 90.00
loop_
_atom_site_label
_atom_site_type_symbol
_atom_site_fract_x
_atom_site_fract_y
_atom_site_fract_z
_atom_site_occupancy
Tm1 Tm 0.000 0.000 0.000 1
Tm2 Tm 0.000 0.000 0.500 1
Tm3 Tm 0.587 0.000 0.750 1
Tm4 Tm 0.413 0.000 0.250 1
Tm5 Tm 0.566 0.500 0.750 1
Tm6 Tm 0.434 0.500 0.250 1
In1 In 0.500 0.765 0.000 1
In2 In 0.500 0.765 0.500 1
In3 In 0.500 0.235 0.000 1
In4 In 0.500 0.235 0.500 1
In5 In 0.088 0.765 0.750 1
In6 In 0.912 0.765 0.250 1
In7 In 0.912 0.235 0.250 1
In8 In 0.088 0.235 0.750 1
La1 La 0.000 0.500 0.000 1
La2 La 0.000 0.500 0.500 1